[1]
Compound: Hf2VH6
Source: the Alexandria database
Functional: PBE
Structure: relaxed

Properties
spin magnetization	0.76	Bohr magnetons per cell
E_tot	-5.85	eV per atom
DOS at the Fermi energy	3.266	states/eV/f.u.

abc: 3.2938 4.3580 5.6634
angles: 112.63 107.00 90.00
With the nearest neighbours (Å) after each atom.
Fractional coordinates of all 9 atoms:
1 Hf 0.6624 0.6625 0.3250  8 H 2.01-2.04
2 Hf 0.3376 0.3375 0.6750  8 H 2.01-2.04
3 V 0.0000 0.0000 0.0000  8 H 1.89-1.92
4 H 0.1596 0.3952 0.3193  1 V 1.89, 3 Hf 2.01-2.04, 1 H 2.05
5 H 0.8404 0.0760 0.6807  1 V 1.89, 3 Hf 2.01-2.04, 1 H 2.05
6 H 0.8404 0.6048 0.6807  1 V 1.89, 3 Hf 2.01-2.04, 1 H 2.05
7 H 0.5000 0.2250 0.0000  2 V 1.92, 1 H 1.96, 2 Hf 2.01
8 H 0.1596 0.9240 0.3193  1 V 1.89, 3 Hf 2.01-2.04, 1 H 2.05
9 H 0.5000 0.7750 0.0000  2 V 1.92, 1 H 1.96, 2 Hf 2.01

[2]
Compound: HfVH2
Source: the Alexandria database
Functional: PBE
Structure: relaxed

Properties
spin magnetization	0.00	Bohr magnetons per cell
distance to the lowest polymorph of the same formula	606	meV/atom
DOS at the Fermi energy	2.605	states/eV/f.u.

abc: 3.8357 3.8357 3.8357
angles: 60.00 60.00 60.00
With the nearest neighbours (Å) after each atom.
Fractional coordinates of all 4 atoms:
1 H 0.2500 0.2500 0.2500  4 Hf 2.35, 4 V 2.35
2 H 0.7500 0.7500 0.7500  4 Hf 2.35, 4 V 2.35
3 Hf 0.5000 0.5000 0.5000  8 H 2.35
4 V 0.0000 0.0000 0.0000  8 H 2.35

[3]
Compound: Hf2VZnH
Source: the Alexandria database
Functional: PBE
Structure: relaxed

Properties
spin magnetization	1.06	Bohr magnetons per cell
E_tot	-6.85	eV per atom
DOS at the Fermi energy	3.551	states/eV/f.u.

abc: 4.3973 4.3973 3.8001
angles: 90.00 90.00 90.00
With the nearest neighbours (Å) after each atom.
Fractional coordinates of all 5 atoms:
1 H 0.0000 0.0000 0.0000  2 V 1.90
2 Zn 0.5000 0.5000 0.5000  8 Hf 2.91, 4 V 3.11
3 Hf 0.0000 0.5000 0.0000  2 H 2.20
4 Hf 0.5000 0.0000 0.0000  2 H 2.20
5 V 0.0000 0.0000 0.5000  2 H 1.90

[4]
Compound: HfZr2VH
Source: the Alexandria database
Functional: PBE
Structure: relaxed

Properties
spin magnetization	0.71	Bohr magnetons per cell
E_tot	-7.87	eV per atom
DOS at the Fermi energy	6.564	states/eV/f.u.

abc: 4.7697 4.7697 3.6739
angles: 90.00 90.00 90.00
With the nearest neighbours (Å) after each atom.
Fractional coordinates of all 5 atoms:
1 H 0.0000 0.0000 0.0000  2 V 1.84
2 Hf 0.5000 0.5000 0.5000  8 Zr 3.01
3 Zr 0.0000 0.5000 0.0000  2 H 2.38
4 Zr 0.5000 0.0000 0.0000  2 H 2.38
5 V 0.0000 0.0000 0.5000  2 H 1.84